# 1
VASP calculation (PBE-GGA) on a relaxed Pm2Tm2Al crystal.

Cell lengths 11.967, 11.967, 11.967 Å; angles 163.12, 163.12, 23.97 degrees
Element x y z (fractional)
Pm 0.191 0.191 0.000
Pm 0.809 0.809 0.000
Tm 0.419 0.419 0.000
Tm 0.581 0.581 0.000
Al 0.000 0.000 0.000

Results
Relative energy among the computed polymorphs = 0 meV/atom
DOS(E_F) = 4.9 states/eV/cell
Energy of formation = -0.777 eV per formula unit
VASP energy = -22.964 eV/cell
Calculated density = 7.5 g/cm3
Crystal system = tetragonal



# 2
VASP calculation (PBE-GGA) on a relaxed PmTm2Al crystal.

Cell lengths 4.760, 4.760, 4.754 Å; angles 90.00, 90.00, 90.00 degrees
Element x y z (fractional)
Pm 0.000 0.000 0.000
Tm 0.000 0.500 0.500
Tm 0.500 0.000 0.500
Al 0.500 0.500 0.000

Results
Relative energy among the computed polymorphs = 23 meV/atom
DOS(E_F) = 5.0 states/eV/cell
Energy of formation = -0.715 eV per formula unit
VASP energy = -18.151 eV/cell
Calculated density = 7.9 g/cm3
Crystal system = tetragonal



# 3
VASP calculation (PBE-GGA) on a relaxed PmTm3Al8 crystal.

Cell lengths 5.542, 5.542, 9.090 Å; angles 90.00, 90.00, 120.00 degrees
Element x y z (fractional)
Pm 0.000 0.000 0.000
Tm 0.000 0.000 0.365
Tm 0.667 0.333 0.498
Tm 0.667 0.333 0.863
Al 0.162 0.324 0.680
Al 0.162 0.838 0.680
Al 0.333 0.667 0.434
Al 0.333 0.667 0.931
Al 0.505 0.009 0.186
Al 0.505 0.495 0.186
Al 0.676 0.838 0.680
Al 0.991 0.495 0.186

Results
Relative energy among the computed polymorphs = 9 meV/atom
DOS(E_F) = 5.8 states/eV/cell
Energy of formation = -5.879 eV per formula unit
VASP energy = -53.985 eV/cell
Calculated density = 6.0 g/cm3
Crystal system = trigonal



# 4
VASP calculation (PBE-GGA) on a relaxed PmTm5Al2 crystal.

Cell lengths 8.191, 8.191, 8.191 Å; angles 155.16, 103.89, 81.51 degrees
Element x y z (fractional)
Pm 0.000 0.000 0.000
Tm 0.138 0.363 0.775
Tm 0.412 0.637 0.775
Tm 0.500 0.000 0.500
Tm 0.588 0.363 0.225
Tm 0.862 0.637 0.225
Al 0.244 0.744 0.500
Al 0.756 0.256 0.500

Results
DOS(E_F) = 11.4 states/eV/cell
Energy of formation = -0.857 eV per formula unit
VASP energy = -35.450 eV/cell
Calculated density = 7.9 g/cm3
Crystal system = orthorhombic



# 5
VASP calculation (PBE-GGA) on a relaxed PmTm4Al crystal.

Cell lengths 3.517, 3.517, 13.803 Å; angles 90.00, 90.00, 90.00 degrees
Element x y z (fractional)
Pm 0.000 0.000 0.000
Tm 0.000 0.000 0.365
Tm 0.000 0.000 0.635
Tm 0.500 0.500 0.183
Tm 0.500 0.500 0.817
Al 0.500 0.500 0.500

Results
DOS(E_F) = 6.9 states/eV/cell
Energy of formation = -0.709 eV per formula unit
VASP energy = -27.088 eV/cell
Calculated density = 8.2 g/cm3
Crystal system = tetragonal



# 6
VASP calculation (PBE-GGA) on a relaxed Pm7Tm12Al crystal.

Cell lengths 8.676, 8.736, 9.494 Å; angles 110.67, 102.39, 100.43 degrees
Element x y z (fractional)
Pm 0.000 0.000 0.000
Pm 0.203 0.590 0.633
Pm 0.246 0.726 0.030
Pm 0.450 0.365 0.752
Pm 0.550 0.635 0.248
Pm 0.754 0.274 0.970
Pm 0.797 0.410 0.367
Tm 0.061 0.147 0.421
Tm 0.068 0.287 0.816
Tm 0.166 0.431 0.232
Tm 0.306 0.880 0.463
Tm 0.337 0.044 0.876
Tm 0.389 0.147 0.268
Tm 0.611 0.853 0.732
Tm 0.663 0.956 0.124
Tm 0.694 0.120 0.537
Tm 0.834 0.569 0.768
Tm 0.932 0.713 0.184
Tm 0.939 0.853 0.579
Al 0.500 0.500 0.500

Results
DOS(E_F) = 26.3 states/eV/cell
Energy of formation = 1.078 eV per formula unit
VASP energy = -89.577 eV/cell
Calculated density = 8.1 g/cm3
Crystal system = triclinic



# 7
VASP calculation (PBE-GGA) on a relaxed Pm4TmAl crystal.

Cell lengths 3.585, 3.585, 14.380 Å; angles 90.00, 90.00, 90.00 degrees
Element x y z (fractional)
Pm 0.000 0.000 0.137
Pm 0.000 0.000 0.863
Pm 0.500 0.500 0.324
Pm 0.500 0.500 0.676
Tm 0.000 0.000 0.500
Al 0.500 0.500 0.000

Results
Relative energy among the computed polymorphs = 0 meV/atom
DOS(E_F) = 6.6 states/eV/cell
Energy of formation = -0.589 eV per formula unit
VASP energy = -27.806 eV/cell
Calculated density = 7.0 g/cm3
Crystal system = tetragonal



# 8
VASP calculation (PBE-GGA) on a relaxed PmTm4Al5 crystal.

Cell lengths 3.575, 3.575, 17.952 Å; angles 90.00, 90.00, 90.00 degrees
Element x y z (fractional)
Pm 0.000 0.000 0.000
Tm 0.000 0.000 0.207
Tm 0.000 0.000 0.402
Tm 0.000 0.000 0.598
Tm 0.000 0.000 0.793
Al 0.500 0.500 0.110
Al 0.500 0.500 0.304
Al 0.500 0.500 0.500
Al 0.500 0.500 0.696
Al 0.500 0.500 0.890

Results
DOS(E_F) = 4.6 states/eV/cell
Energy of formation = -3.836 eV per formula unit
VASP energy = -45.185 eV/cell
Calculated density = 6.9 g/cm3
Crystal system = tetragonal



# 9
VASP calculation (PBE-GGA) on a relaxed Pm2TmAl6 crystal.

Cell lengths 7.953, 7.953, 3.561 Å; angles 90.00, 90.00, 120.00 degrees
Element x y z (fractional)
Pm 0.333 0.667 0.000
Pm 0.667 0.333 0.000
Tm 0.000 0.000 0.000
Al 0.000 0.331 0.500
Al 0.000 0.669 0.500
Al 0.331 0.000 0.500
Al 0.331 0.331 0.500
Al 0.669 0.000 0.500
Al 0.669 0.669 0.500

Results
DOS(E_F) = 4.2 states/eV/cell
Energy of formation = -4.267 eV per formula unit
VASP energy = -40.695 eV/cell
Calculated density = 5.3 g/cm3
Crystal system = hexagonal



# 10
VASP calculation (PBE-GGA) on a relaxed Pm3TmAl crystal.

Cell lengths 8.003, 8.003, 5.793 Å; angles 90.00, 90.00, 120.00 degrees
Element x y z (fractional)
Pm 0.191 0.381 0.250
Pm 0.191 0.809 0.250
Pm 0.381 0.191 0.750
Pm 0.619 0.809 0.250
Pm 0.809 0.191 0.750
Pm 0.809 0.619 0.750
Tm 0.333 0.667 0.750
Tm 0.667 0.333 0.250
Al 0.000 0.000 0.000
Al 0.000 0.000 0.500

Results
Relative energy among the computed polymorphs = 196 meV/atom
DOS(E_F) = 13.1 states/eV/cell
Energy of formation = 0.371 eV per formula unit
VASP energy = -44.190 eV/cell
Calculated density = 6.5 g/cm3
Crystal system = hexagonal



# 11
VASP calculation (PBE-GGA) on a relaxed PmTm3Al2 crystal.

Cell lengths 8.271, 8.271, 8.897 Å; angles 117.42, 117.42, 36.53 degrees
Element x y z (fractional)
Pm 0.132 0.132 0.180
Pm 0.868 0.868 0.820
Tm 0.062 0.062 0.716
Tm 0.313 0.313 0.011
Tm 0.383 0.383 0.468
Tm 0.617 0.617 0.532
Tm 0.687 0.687 0.989
Tm 0.938 0.938 0.284
Al 0.231 0.231 0.601
Al 0.478 0.478 0.841
Al 0.522 0.522 0.159
Al 0.769 0.769 0.399

Results
Relative energy among the computed polymorphs = 69 meV/atom
DOS(E_F) = 11.6 states/eV/cell
Energy of formation = -1.139 eV per formula unit
VASP energy = -53.578 eV/cell
Calculated density = 7.4 g/cm3
Crystal system = monoclinic



# 12
VASP calculation (PBE-GGA) on a relaxed Pm5TmAl2 crystal.

Cell lengths 5.389, 5.389, 19.946 Å; angles 90.00, 90.00, 120.00 degrees
Element x y z (fractional)
Pm 0.000 0.000 0.156
Pm 0.000 0.000 0.344
Pm 0.000 0.000 0.656
Pm 0.000 0.000 0.844
Pm 0.333 0.667 0.055
Pm 0.333 0.667 0.250
Pm 0.333 0.667 0.445
Pm 0.667 0.333 0.555
Pm 0.667 0.333 0.750
Pm 0.667 0.333 0.945
Tm 0.333 0.667 0.750
Tm 0.667 0.333 0.250
Al 0.333 0.667 0.602
Al 0.333 0.667 0.898
Al 0.667 0.333 0.102
Al 0.667 0.333 0.398

Results
Relative energy among the computed polymorphs = 21 meV/atom
DOS(E_F) = 24.2 states/eV/cell
Energy of formation = -0.282 eV per formula unit
VASP energy = -71.983 eV/cell
Calculated density = 6.3 g/cm3
Crystal system = hexagonal



> What is the energy of formation in the fourth record?

-0.857 eV per formula unit



> What is the DOS(E_F) in the first record?

4.9 states/eV/cell



What did the eighth record say?
VASP calculation (PBE-GGA) on a relaxed PmTm4Al5 crystal.

Cell lengths 3.575, 3.575, 17.952 Å; angles 90.00, 90.00, 90.00 degrees
Element x y z (fractional)
Pm 0.000 0.000 0.000
Tm 0.000 0.000 0.207
Tm 0.000 0.000 0.402
Tm 0.000 0.000 0.598
Tm 0.000 0.000 0.793
Al 0.500 0.500 0.110
Al 0.500 0.500 0.304
Al 0.500 0.500 0.500
Al 0.500 0.500 0.696
Al 0.500 0.500 0.890

Results
DOS(E_F) = 4.6 states/eV/cell
Energy of formation = -3.836 eV per formula unit
VASP energy = -45.185 eV/cell
Calculated density = 6.9 g/cm3
Crystal system = tetragonal